Compound: Pr4Dy3Te8
Source: Alexandria via LeMat-Bulk
Functional: PBE-GGA
Structure: relaxed

symmetry: C2/m (12)
final energy: -5.282 eV per atom
ΔE_f (raw): -1412 meV/atom

Cell: 8.865 8.870 8.870 Å, 89.96 120.03 120.03°
Fractional coordinates of all 15 atoms:
Te: 0.000 0.259 0.741
Te: 0.991 0.736 0.736
Te: 0.500 0.255 0.745
Te: 0.500 0.745 0.255
Te: 0.009 0.264 0.264
Te: 0.518 0.264 0.264
Te: 0.000 0.741 0.259
Te: 0.482 0.736 0.736
Dy: 0.500 0.000 0.500
Dy: 0.500 0.500 0.000
Dy: 0.500 0.500 0.500
Pr: 0.500 0.000 0.000
Pr: 0.000 0.000 0.000
Pr: 0.000 0.000 0.500
Pr: 0.000 0.500 0.000